# 1
## Tb5Tl3Sn (PBE)

Data for a relaxed structure of Tb5Tl3Sn.

The formation energy is -0.412 eV per atom. Its energy is -4.22 eV per atom.

Lattice parameters (Å, degrees): 9.451 9.451 6.619 90.00 90.00 120.00
Fractional coordinates of all 18 atoms:
Tb  0.000  0.276  0.250
Tb  0.000  0.724  0.750
Tb  0.276  0.000  0.250
Tb  0.276  0.276  0.750
Tb  0.333  0.667  0.000
Tb  0.333  0.667  0.500
Tb  0.667  0.333  0.000
Tb  0.667  0.333  0.500
Tb  0.724  0.000  0.750
Tb  0.724  0.724  0.250
Tl  0.000  0.385  0.750
Tl  0.000  0.615  0.250
Tl  0.385  0.000  0.750
Tl  0.385  0.385  0.250
Tl  0.615  0.000  0.250
Tl  0.615  0.615  0.750
Sn  0.000  0.000  0.000
Sn  0.000  0.000  0.500

=====

# 2
## TmTi2Ga4 (PBE)

Data for a relaxed structure of TmTi2Ga4.

The formation energy is -0.531 eV per atom. Its energy is -5.15 eV per atom.

Lattice parameters (Å, degrees): 5.480 5.480 5.480 104.39 104.39 120.19
Fractional coordinates of all 7 atoms:
Tm  0.000  0.000  0.000
Ti  0.250  0.750  0.500
Ti  0.750  0.250  0.500
Ga  0.302  0.302  0.605
Ga  0.302  0.698  0.000
Ga  0.698  0.302  0.000
Ga  0.698  0.698  0.395